DFT (PBE-GGA) results for a relaxed structure of La6Pr2NdY.

a = 9.3658 Å, b = 9.1964 Å, c = 9.1964 Å
α = 114.56°, β = 89.50°, γ = 89.50°
Fractional coordinates of all 20 atoms:
La1 0.0972 0.0691 0.7818
La2 0.9028 0.9309 0.2182
La3 0.5972 0.7818 0.0691
La4 0.5902 0.4209 0.7268
Nd1 0.2500 0.4325 0.5675
La5 0.9098 0.2732 0.5791
Pr1 0.5636 0.2053 0.2953
Y1 0.2500 0.9264 0.0736
Y2 0.7500 0.0736 0.9264
La6 0.4098 0.5791 0.2732
La7 0.4028 0.2182 0.9309
Nd2 0.7500 0.5675 0.4325
Pr2 0.0636 0.2953 0.2053
Pr3 0.4364 0.7947 0.7047
La8 0.6807 0.9634 0.5249
Pr4 0.9364 0.7047 0.7947
La9 0.3193 0.0366 0.4751
La10 0.8193 0.4751 0.0366
La11 0.0902 0.7268 0.4209
La12 0.1807 0.5249 0.9634

Calculated values
- Symmetry: C2/c, No. 15
- Formation energy from the elements: 0.104 eV/atom
- Size of the total moment: 0.000 μB/f.u.

=====

DFT (PBE-GGA) results for a relaxed structure of TlNiAu2.

a = 3.9107 Å, b = 3.9107 Å, c = 10.4225 Å
α = 79.19°, β = 79.19°, γ = 90.00°
Fractional coordinates of all 8 atoms:
Ni1 0.2500 0.7500 0.5000
Au1 0.3750 0.3847 0.7500
Tl1 0.0000 0.0000 0.0000
Ni2 0.5000 0.5000 0.0000
Au2 0.8750 0.8653 0.7500
Au3 0.1347 0.6250 0.2500
Tl2 0.7500 0.2500 0.5000
Au4 0.6153 0.1250 0.2500

Calculated values
- Symmetry: I-42d, No. 122
- Formation energy from the elements: 0.252 eV/atom
- Size of the total moment: 0.000 μB/f.u.
- ΔE to the lowest computed polymorph: 0.130 eV/atom

=====

DFT (PBE-GGA) results for a relaxed structure of Cd3Mo.

a = 2.9934 Å, b = 2.9934 Å, c = 10.2526 Å
α = 98.39°, β = 81.61°, γ = 120.00°
Fractional coordinates of all 4 atoms:
Cd1 0.9957 0.0043 0.0130
Mo1 0.2500 0.7500 0.2500
Cd2 0.5043 0.4957 0.4870
Cd3 0.7500 0.2500 0.7500

Calculated values
- Symmetry: R-3m, No. 166
- Formation energy from the elements: 0.328 eV/atom
- Size of the total moment: 0.000 μB/f.u.
- ΔE to the lowest computed polymorph: 0.049 eV/atom

=====

DFT (PBE-GGA) results for a relaxed structure of Pm2ErTl2Zn2.

a = 4.7469 Å, b = 4.7469 Å, c = 9.7791 Å
α = 75.95°, β = 75.95°, γ = 60.00°
Fractional coordinates of all 7 atoms:
Zn1 0.6122 0.6122 0.1633
Pm1 0.1255 0.1255 0.6236
Tl1 0.2658 0.2658 0.2026
Pm2 0.8745 0.8745 0.3764
Tl2 0.7342 0.7342 0.7974
Er1 0.0000 0.0000 0.0000
Zn2 0.3878 0.3878 0.8367

Calculated values
- Symmetry: R-3m, No. 166
- Formation energy from the elements: -0.168 eV/atom
- Size of the total moment: 0.000 μB/f.u.

=====

DFT (PBE-GGA) results for a relaxed structure of La5CeHg6.

a = 5.5010 Å, b = 7.8480 Å, c = 8.7066 Å
α = 90.00°, β = 71.58°, γ = 90.00°
Fractional coordinates of all 12 atoms:
Ce1 0.0000 0.0000 0.0000
La1 0.6658 0.0000 0.6685
Hg1 0.1652 0.2477 0.6695
La2 0.3342 0.0000 0.3315
La3 0.0000 0.5000 0.0000
Hg2 0.5001 0.2469 0.0000
La4 0.3327 0.5000 0.3346
Hg3 0.8348 0.7523 0.3305
Hg4 0.4999 0.7531 0.0000
Hg5 0.8347 0.2477 0.3305
La5 0.6673 0.5000 0.6654
Hg6 0.1653 0.7523 0.6695

Calculated values
- Symmetry: Cmmm, No. 65
- Formation energy from the elements: -0.464 eV/atom
- Size of the total moment: 3.349 μB/f.u.

=====

DFT (PBE-GGA) results for a relaxed structure of SmTmCdAg.

a = 3.6839 Å, b = 3.6839 Å, c = 7.4692 Å
α = 90.00°, β = 90.00°, γ = 90.00°
Fractional coordinates of all 4 atoms:
Ag1 0.0000 0.0000 0.3756
Sm1 0.5000 0.5000 0.1128
Cd1 0.0000 0.0000 0.8431
Tm1 0.5000 0.5000 0.5964

Calculated values
- Symmetry: P4mm, No. 99
- Formation energy from the elements: -0.305 eV/atom
- Size of the total moment: 0.124 μB/f.u.
- ΔE to the lowest computed polymorph: 0.000 eV/atom

=====

DFT (PBE-GGA) results for a relaxed structure of KCdAs2.

a = 4.6332 Å, b = 4.6334 Å, c = 4.4385 Å
α = 90.00°, β = 90.00°, γ = 90.00°
Fractional coordinates of all 4 atoms:
K1 0.0000 0.5000 0.5000
Cd1 0.5000 0.0000 0.5000
As1 0.5000 0.5000 0.0000
As2 0.0000 0.0000 0.0000

Calculated values
- Symmetry: P4/mmm, No. 123
- Formation energy from the elements: 0.107 eV/atom
- Size of the total moment: 0.000 μB/f.u.

=====

DFT (PBE-GGA) results for a relaxed structure of TaAlCr2.

a = 2.7052 Å, b = 2.7052 Å, c = 8.3832 Å
α = 90.00°, β = 90.00°, γ = 111.11°
Fractional coordinates of all 4 atoms:
Al1 0.5000 0.5000 0.7695
Ta1 0.0000 0.0000 0.4884
Cr1 0.5000 0.5000 0.2277
Cr2 0.0000 0.0000 0.0144

Calculated values
- Symmetry: Cmm2, No. 35
- Formation energy from the elements: 0.059 eV/atom
- Size of the total moment: 0.000 μB/f.u.

=====

So what do the calculations give for VASP energy? Going down the list: -4.93 -3.42 -3.07 -3.22 -3.16 -3.54 -2.72 -8.65 eV per atom.
So what do the calculations give for D(E_F)? Going down the list: 1.251 0.461 0.557 0.466 1.732 0.934 0.585 0.614 states/eV/atom.